[1]
RbBeP2, optimized geometry, DFT PBE; magnetization = 0.00 μB per formula unit; volume = 182.6 Å³ per cell; energy relative to the elements = -90.9 meV per atom; SG = No. 141
1.0
5.0533 0.0000 0.0000
0.0000 5.0533 0.0000
2.5266 2.5266 7.1511
Rb P Be
2 4 2
direct
0.0000 0.0000 0.0000 Rb
0.7500 0.2500 0.5000 Rb
0.3750 0.6249 0.7500 P
0.3749 0.6250 0.2500 P
0.8750 0.6251 0.7500 P
0.3751 0.1250 0.2500 P
0.2500 0.7500 0.5000 Be
0.5000 0.5000 0.0000 Be

***

[2]
RbBeP, optimized geometry, DFT PBE; magnetization = 0.00 μB per formula unit; volume = 101.1 Å³ per cell; energy relative to the elements = 749.5 meV per atom; SG = No. 107
1.0
-2.5837 3.5021 -2.1602
-3.6753 -0.8172 3.0710
4.7604 1.5374 2.2628
Be P Rb
1 1 1
direct
0.3400 0.3400 0.6799 Be
0.5637 0.5637 0.1275 P
0.9463 0.9463 0.8926 Rb

***

[3]
Rb2BeP, optimized geometry, DFT PBE; magnetization = 0.00 μB per formula unit; volume = 266.3 Å³ per cell; energy relative to the elements = 973.3 meV per atom; excess energy over the best structure of this formula in the dataset = 0.233 eV/atom; SG = No. 122
1.0
-4.0538 -0.3244 2.7038
1.6022 -4.2049 1.8976
3.8083 3.3642 10.5237
P Rb Be
2 4 2
direct
0.7500 0.2500 0.5000 P
0.0000 0.0000 0.0000 P
0.8750 0.8730 0.7500 Rb
0.1270 0.6250 0.2500 Rb
0.6230 0.1250 0.2500 Rb
0.3750 0.3770 0.7500 Rb
0.2500 0.7500 0.5000 Be
0.5000 0.5000 0.0000 Be

***

[4]
RbBeP, optimized geometry, DFT PBE; magnetization = 0.00 μB per formula unit; volume = 150.9 Å³ per cell; energy relative to the elements = -448.1 meV per atom; SG = No. 2
1.0
-3.1171 -1.9006 -0.8457
1.0966 -3.8977 4.8478
-2.1548 5.9273 2.8004
Rb P Be
2 2 2
direct
0.0864 0.3133 0.1806 Rb
0.9136 0.6867 0.8194 Rb
0.6440 0.8073 0.2876 P
0.3560 0.1927 0.7124 P
0.7851 0.0795 0.5703 Be
0.2149 0.9205 0.4297 Be

***

[5]
RbBe2P, optimized geometry, DFT PBE; magnetization = 0.00 μB per formula unit; volume = 170.6 Å³ per cell; energy relative to the elements = 324.3 meV per atom; SG = No. 141
1.0
4.9332 0.0000 0.0000
0.0000 4.9332 0.0000
2.4666 2.4666 7.0080
P Be Rb
2 4 2
direct
0.2500 0.7500 0.5000 P
0.5000 0.5000 0.0000 P
0.8750 0.6250 0.7500 Be
0.3750 0.6250 0.7500 Be
0.3750 0.1250 0.2500 Be
0.3750 0.6250 0.2500 Be
0.7500 0.2500 0.5000 Rb
0.0000 0.0000 0.0000 Rb

***

[6]
Rb2SrBeP2, optimized geometry, DFT PBE; magnetization = 0.00 μB per formula unit; volume = 352.8 Å³ per cell; energy relative to the elements = -396.1 meV per atom; SG = No. 72
1.0
6.9571 0.0000 0.0000
0.0000 6.7697 0.0000
-3.4786 -3.3849 7.4913
Sr Rb P Be
2 4 4 2
direct
0.0000 0.7500 0.0000 Sr
0.0000 0.2500 0.0000 Sr
0.5254 0.8191 0.6383 Rb
0.8871 0.6809 0.3617 Rb
0.4746 0.1809 0.3617 Rb
0.1129 0.3191 0.6383 Rb
0.2423 0.9279 0.8559 P
0.6136 0.4279 0.8559 P
0.3864 0.5721 0.1441 P
0.7577 0.0721 0.1441 P
0.5000 0.2500 0.0000 Be
0.5000 0.7500 0.0000 Be